Computed, not measured: a geometry-optimized PmMg2GaAg2 structure at the PBE level of DFT.

Lattice parameters (Å, degrees): 5.172 5.172 11.258 90.00 90.00 90.00
Space group I4/mmm (No. 139)
Symmetry-distinct sites (fractional):
Pm 0.000 0.000 0.000 [2 per cell]
Mg 0.000 0.500 0.250 [4 per cell]
Ga 0.000 0.000 0.500 [2 per cell]
Ag 0.000 0.000 0.280 [4 per cell]

Computed properties:
ΔH_f (0 K): 17 kJ/mol of formula units
Total magnetization: 0.000 μB/cell